Model P:
# Tm4TlAg3

An optimized crystal structure of Tm4TlAg3 (GGA-PBE, the Alexandria database).

The structure in POSCAR format:
```
Tm4TlAg3
1.0
3.5607 0.0000 0.0000
0.0000 3.5607 0.0000
0.0000 0.0000 15.0945
Tm Tl Ag
4 1 3
direct
0.0000 0.0000 0.1212
0.0000 0.0000 0.3618
0.0000 0.0000 0.6382
0.0000 0.0000 0.8788
0.5000 0.5000 0.5000
0.5000 0.5000 0.0000
0.5000 0.5000 0.2419
0.5000 0.5000 0.7581
```

***

Model Q:
# Tm4TlAg3

An optimized crystal structure of Tm4TlAg3 (GGA-PBE, the Alexandria database).

The structure in POSCAR format:
```
Tm4TlAg3
1.0
3.6537 0.0000 0.0000
0.0000 4.8085 0.0000
0.0000 0.0000 11.2183
Tm Tl Ag
4 1 3
direct
0.0000 0.0000 0.0000
0.0000 0.5000 0.2787
0.5000 0.0000 0.4795
0.5000 0.5000 0.7929
0.0000 0.0000 0.7200
0.0000 0.5000 0.5512
0.5000 0.0000 0.2166
0.5000 0.5000 0.0597
```

***

model P takes first place; second place is 0.050 eV/atom up.

***

Model P:
# Tm3TlAg

An optimized crystal structure of Tm3TlAg (GGA-PBE, the Alexandria database).

The structure in POSCAR format:
```
Tm3TlAg
1.0
3.6009 0.0000 0.0000
0.0249 8.5468 0.0000
0.0171 3.1489 8.8607
Tm Tl Ag
6 2 2
direct
0.0000 0.0000 0.0000
0.0007 0.4377 0.9147
0.0035 0.4177 0.3003
0.0060 0.8781 0.6845
0.4966 0.8252 0.3355
0.4999 0.2429 0.6878
0.5012 0.6870 0.0314
0.9947 0.5679 0.5659
0.5008 0.2051 0.1314
0.5074 0.1109 0.4453
```

***

Model Q:
# Tm3TlAg

An optimized crystal structure of Tm3TlAg (GGA-PBE, the Alexandria database).

The structure in POSCAR format:
```
Tm3TlAg
1.0
2.5352 -10.1895 0.0000
2.5352 10.1895 0.0000
0.0000 0.0000 5.0745
Tm Tl Ag
6 2 2
direct
0.0604 0.9396 0.7500
0.2501 0.7499 0.7500
0.4394 0.5606 0.7500
0.5606 0.4394 0.2500
0.7499 0.2501 0.2500
0.9396 0.0604 0.2500
0.3436 0.6564 0.2500
0.6564 0.3436 0.7500
0.1585 0.8415 0.2500
0.8415 0.1585 0.7500
```

***

model Q takes first place; second place is 0.093 eV/atom up.

***

Model P:
# TlVAg3

An optimized crystal structure of TlVAg3 (GGA-PBE, the Alexandria database).

The structure in POSCAR format:
```
TlVAg3
1.0
5.1303 0.0000 0.0000
0.0000 5.1303 0.0000
0.0000 0.0000 5.1303
Tl V Ag
1 1 3
direct
0.0000 0.0000 0.0000
0.5000 0.5000 0.5000
0.0000 0.5000 0.5000
0.5000 0.0000 0.5000
0.5000 0.5000 0.0000
```

***

Model Q:
# TlVAg3

An optimized crystal structure of TlVAg3 (GGA-PBE, the Alexandria database).

The structure in POSCAR format:
```
TlVAg3
1.0
5.2058 0.0000 0.0000
0.0000 5.2058 0.0000
0.0000 0.0000 5.2058
Tl V Ag
1 1 3
direct
0.0000 0.0000 0.0000
0.5000 0.5000 0.5000
0.0000 0.0000 0.5000
0.0000 0.5000 0.0000
0.5000 0.0000 0.0000
```

***

model P takes first place; second place is 0.211 eV/atom up.

***

Model P:
# Tl3VAg

An optimized crystal structure of Tl3VAg (GGA-PBE, the Alexandria database).

The structure in POSCAR format:
```
Tl3VAg
1.0
5.3885 0.0000 0.0000
0.0000 5.3885 0.0000
0.0000 0.0000 5.3885
Tl V Ag
3 1 1
direct
0.0000 0.0000 0.5000
0.0000 0.5000 0.0000
0.5000 0.0000 0.0000
0.0000 0.0000 0.0000
0.5000 0.5000 0.5000
```

***

Model Q:
# Tl3VAg

An optimized crystal structure of Tl3VAg (GGA-PBE, the Alexandria database).

The structure in POSCAR format:
```
Tl3VAg
1.0
5.4460 0.0000 0.0000
0.0000 5.4460 0.0000
0.0000 0.0000 5.4460
Tl V Ag
3 1 1
direct
0.0000 0.0000 0.5000
0.0000 0.5000 0.0000
0.5000 0.0000 0.0000
0.5000 0.5000 0.5000
0.0000 0.0000 0.0000
```

***

model P takes first place; second place is 0.220 eV/atom up.

***

Model P:
# Tl2AgW

An optimized crystal structure of Tl2AgW (GGA-PBE, the Alexandria database).

The structure in POSCAR format:
```
Tl2AgW
1.0
2.9800 0.0000 0.0000
0.0000 5.4052 0.0000
0.0000 0.0000 5.1786
Tl Ag W
2 1 1
direct
0.0000 0.0000 0.0000
0.5000 0.5000 0.2482
0.5000 0.0000 0.5251
0.0000 0.5000 0.7421
```

***

Model Q:
# Tl2AgW

An optimized crystal structure of Tl2AgW (GGA-PBE, the Alexandria database).

The structure in POSCAR format:
```
Tl2AgW
1.0
1.5471 -2.7123 0.0000
1.5471 2.7123 0.0000
0.0000 0.0000 10.0190
Tl Ag W
2 1 1
direct
0.0000 0.0000 0.2479
0.0000 0.0000 0.7521
0.5000 0.5000 0.5000
0.5000 0.5000 0.0000
```

***

model Q takes first place; second place is 0.076 eV/atom up.

***

Model P:
# TlAgW2

An optimized crystal structure of TlAgW2 (GGA-PBE, the Alexandria database).

The structure in POSCAR format:
```
TlAgW2
1.0
-1.6748 2.4105 4.6202
1.6748 -2.4105 4.6202
1.6748 2.4105 -4.6202
Tl Ag W
1 1 2
direct
0.0000 0.0000 0.0000
0.2600 0.7600 0.5000
0.5264 0.5264 0.0000
0.7288 0.2288 0.5000
```

***

Model Q:
# TlAgW2

An optimized crystal structure of TlAgW2 (GGA-PBE, the Alexandria database).

The structure in POSCAR format:
```
TlAgW2
1.0
2.8185 0.0000 0.0000
0.0000 2.8185 0.0000
0.0000 0.0000 9.0624
Tl Ag W
1 1 2
direct
0.0000 0.0000 0.0000
0.0000 0.0000 0.5000
0.5000 0.5000 0.2618
0.5000 0.5000 0.7382
```

***

Model R:
# TlAgW2

An optimized crystal structure of TlAgW2 (GGA-PBE, the Alexandria database).

The structure in POSCAR format:
```
TlAgW2
1.0
0.0000 3.3090 3.3090
3.3090 0.0000 3.3090
3.3090 3.3090 0.0000
Tl Ag W
1 1 2
direct
0.0000 0.0000 0.0000
0.2500 0.2500 0.2500
0.5000 0.5000 0.5000
0.7500 0.7500 0.7500
```

***

Model S:
# TlAgW2

An optimized crystal structure of TlAgW2 (GGA-PBE, the Alexandria database).

The structure in POSCAR format:
```
TlAgW2
1.0
1.4509 0.8377 10.1740
-1.4509 0.8377 10.1740
0.0000 -1.6753 10.1740
Tl Ag W
1 1 2
direct
0.0000 0.0000 0.0000
0.2431 0.2431 0.2431
0.4966 0.4966 0.4966
0.7525 0.7525 0.7525
```

***

model S takes first place; second place is 0.123 eV/atom up.